Record 1
First-principles (PBE) data for TlPbSe2 after structural relaxation, as listed in the Alexandria database.

Lattice parameters (Å, degrees): 3.802 3.802 7.514 90.00 90.00 90.00
Element x y z (fractional)
Tl 0.000 0.000 0.000
Pb 0.000 0.000 0.500
Se 0.500 0.500 0.266
Se 0.500 0.500 0.734

Values from the calculation:
Space group   P4/mmm (123)
Calculated volume   27.16 Å³ per atom
M_tot   0.0 μB/cell
DFT total energy   -13.94 eV/f.u.

=====

Record 2
First-principles (PBE) data for VNi2Ru after structural relaxation, as listed in the Alexandria database.

Lattice parameters (Å, degrees): 4.423 4.423 4.423 130.52 130.52 72.57
Element x y z (fractional)
V 0.000 0.000 0.000
Ni 0.250 0.750 0.500
Ni 0.500 0.500 0.000
Ru 0.750 0.250 0.500

Values from the calculation:
Space group   I-4m2 (119)
Calculated volume   12.22 Å³ per atom
M_tot   0.0 μB/cell
Formation energy   -0.6 eV/f.u.
Distance to the lowest polymorph of the same formula   0.063 eV/atom
DFT total energy   -30.51 eV/f.u.